# 1
Entry from Alexandria via LeMat-Bulk: a geometry-optimized SmY2Au structure (GGA-PBE).

Cell lengths 3.7310, 3.7310, 30.0822 Å; angles 90.00, 90.00, 120.00 degrees
Fractional coordinates of all 12 atoms:
Sm 0.0000 0.0000 0.0000
Sm 0.3333 0.6667 0.6667
Sm 0.6667 0.3333 0.3333
Y 0.0000 0.0000 0.2352
Y 0.0000 0.0000 0.7648
Y 0.3333 0.6667 0.4315
Y 0.3333 0.6667 0.9018
Y 0.6667 0.3333 0.0982
Y 0.6667 0.3333 0.5685
Au 0.0000 0.0000 0.5000
Au 0.3333 0.6667 0.1667
Au 0.6667 0.3333 0.8333

Summary:
Theoretical density (g/cm3): 7.21
Space-group type: No. 166
VASP energy (Ry per atom): -0.405
N(E_F) (states/eV/cell): 16.8

# 2
Entry from Alexandria via LeMat-Bulk: a geometry-optimized AsO2F structure (GGA-PBE).

Cell lengths 6.4307, 6.4307, 4.1450 Å; angles 90.00, 90.00, 90.00 degrees
Fractional coordinates of all 16 atoms:
As 0.0000 0.0000 0.0000
As 0.0000 0.5000 0.2500
As 0.5000 0.0000 0.7500
As 0.5000 0.5000 0.5000
O 0.1075 0.7500 0.1250
O 0.2500 0.1075 0.8750
O 0.2500 0.3925 0.3750
O 0.3925 0.7500 0.6250
O 0.6075 0.2500 0.6250
O 0.7500 0.6075 0.3750
O 0.7500 0.8925 0.8750
O 0.8925 0.2500 0.1250
F 0.0000 0.0000 0.5000
F 0.0000 0.5000 0.7500
F 0.5000 0.0000 0.2500
F 0.5000 0.5000 0.0000

Summary:
Theoretical density (g/cm3): 4.88
Space-group type: No. 122
VASP energy (Ry per atom): -0.372
N(E_F) (states/eV/cell): 0.0

# 3
Entry from Alexandria via LeMat-Bulk: a geometry-optimized Tl2AgCl structure (GGA-PBE).

Cell lengths 7.8658, 4.4979, 7.4788 Å; angles 90.00, 110.26, 90.00 degrees
Fractional coordinates of all 8 atoms:
Tl 0.2472 0.0000 0.2387
Tl 0.2528 0.5000 0.7613
Tl 0.7472 0.5000 0.2387
Tl 0.7528 0.0000 0.7613
Ag 0.0000 0.5000 0.0000
Ag 0.5000 0.0000 0.0000
Cl 0.0000 0.0000 0.5000
Cl 0.5000 0.5000 0.5000

Summary:
Theoretical density (g/cm3): 7.39
Space-group type: No. 12
VASP energy (Ry per atom): -0.190
N(E_F) (states/eV/cell): 2.1

# 4
Entry from Alexandria via LeMat-Bulk: a geometry-optimized Pr2Nd3Dy2 structure (GGA-PBE).

Cell lengths 3.6599, 6.3015, 10.9572 Å; angles 95.54, 90.05, 106.75 degrees
Fractional coordinates of all 7 atoms:
Pr 0.2162 0.4314 0.3554
Pr 0.7838 0.5686 0.6446
Nd 0.3569 0.7162 0.9302
Nd 0.5000 0.0000 0.5000
Nd 0.6431 0.2838 0.0698
Dy 0.0714 0.1410 0.7870
Dy 0.9286 0.8590 0.2130

Summary:
Theoretical density (g/cm3): 7.17
Space-group type: No. 2
VASP energy (Ry per atom): -0.346
N(E_F) (states/eV/cell): 9.5

# 5
Entry from Alexandria via LeMat-Bulk: a geometry-optimized BaSrZn2Ni structure (GGA-PBE).

Cell lengths 4.9762, 4.9762, 5.1885 Å; angles 90.00, 90.00, 90.00 degrees
Fractional coordinates of all 5 atoms:
Ba 0.0000 0.0000 0.0000
Sr 0.5000 0.5000 0.0000
Zn 0.0000 0.5000 0.5000
Zn 0.5000 0.0000 0.5000
Ni 0.5000 0.5000 0.5000

Summary:
Theoretical density (g/cm3): 5.36
Space-group type: No. 123
VASP energy (Ry per atom): -0.176
N(E_F) (states/eV/cell): 4.3

Number 3 is which compound?
Tl2AgCl